1.
Entry from Alexandria: crystalline Pr6SmEr12 at its relaxed geometry (PBE-GGA).

Results
Space group ... R-3m, No. 166
Theoretical density ... 7.76 g cm⁻³
ΔH_f (0 K) ... 0.219 eV per atom
Size of the total moment ... 0.00 Bohr magnetons per cell
Excess energy over the best structure of this formula in the dataset ... 97 meV/atom

Cell: 8.741 8.741 8.741 Å, 98.67 98.67 98.67°
Fractional coordinates of all 19 atoms:
Er (0.644, 0.919, 0.644)
Er (0.644, 0.644, 0.919)
Er (0.245, 0.755, 0.500)
Er (0.500, 0.245, 0.755)
Er (0.356, 0.356, 0.081)
Er (0.245, 0.500, 0.755)
Er (0.919, 0.644, 0.644)
Er (0.081, 0.356, 0.356)
Er (0.755, 0.245, 0.500)
Er (0.755, 0.500, 0.245)
Er (0.356, 0.081, 0.356)
Er (0.500, 0.755, 0.245)
Pr (0.655, 0.099, 0.099)
Pr (0.345, 0.901, 0.901)
Pr (0.099, 0.099, 0.655)
Pr (0.099, 0.655, 0.099)
Pr (0.901, 0.901, 0.345)
Pr (0.901, 0.345, 0.901)
Sm (0.000, 0.000, 0.000)

---

2.
Entry from Alexandria: crystalline Pr3Sm3Er4 at its relaxed geometry (PBE-GGA).

Results
Space group ... Amm2, No. 38
Theoretical density ... 7.55 g cm⁻³
ΔH_f (0 K) ... 0.094 eV per atom
Size of the total moment ... 0.00 Bohr magnetons per cell

Cell: 3.679 9.606 9.606 Å, 90.10 90.00 90.00°
Fractional coordinates of all 10 atoms:
Er (0.000, 0.124, 0.121)
Er (0.000, 0.623, 0.377)
Er (0.000, 0.376, 0.624)
Er (0.000, 0.879, 0.876)
Pr (0.500, 0.825, 0.175)
Pr (0.500, 0.675, 0.676)
Pr (0.500, 0.324, 0.325)
Sm (0.000, 0.001, 0.503)
Sm (0.500, 0.175, 0.825)
Sm (0.000, 0.497, 0.999)

---

3.
Entry from Alexandria: crystalline Pr4Sm4Er3 at its relaxed geometry (PBE-GGA).

Results
Space group ... C2/m, No. 12
Theoretical density ... 7.46 g cm⁻³
ΔH_f (0 K) ... 0.046 eV per atom
Size of the total moment ... 0.00 Bohr magnetons per cell
Excess energy over the best structure of this formula in the dataset ... 0 meV/atom

Cell: 19.219 19.219 3.559 Å, 95.30 95.30 16.48°
Fractional coordinates of all 11 atoms:
Er (0.636, 0.636, 0.139)
Er (0.000, 0.000, 0.500)
Er (0.364, 0.364, 0.861)
Pr (0.278, 0.278, 0.277)
Pr (0.722, 0.722, 0.723)
Pr (0.905, 0.905, 0.402)
Pr (0.095, 0.095, 0.598)
Sm (0.545, 0.545, 0.047)
Sm (0.817, 0.817, 0.815)
Sm (0.183, 0.183, 0.185)
Sm (0.455, 0.455, 0.953)

---

4.
Entry from Alexandria: crystalline Pr6Sm12Er at its relaxed geometry (PBE-GGA).

Results
Space group ... R-3m, No. 166
Theoretical density ... 6.93 g cm⁻³
ΔH_f (0 K) ... 0.305 eV per atom
Size of the total moment ... 0.00 Bohr magnetons per cell
Excess energy over the best structure of this formula in the dataset ... 181 meV/atom

Cell: 10.015 10.015 10.015 Å, 112.45 112.45 112.45°
Fractional coordinates of all 19 atoms:
Pr (0.268, 0.526, 0.268)
Pr (0.268, 0.268, 0.526)
Pr (0.732, 0.732, 0.474)
Pr (0.474, 0.732, 0.732)
Pr (0.732, 0.474, 0.732)
Pr (0.526, 0.268, 0.268)
Sm (0.096, 0.738, 0.738)
Sm (0.879, 0.121, 0.500)
Sm (0.121, 0.879, 0.500)
Sm (0.500, 0.121, 0.879)
Sm (0.738, 0.738, 0.096)
Sm (0.738, 0.096, 0.738)
Sm (0.262, 0.904, 0.262)
Sm (0.879, 0.500, 0.121)
Sm (0.121, 0.500, 0.879)
Sm (0.262, 0.262, 0.904)
Sm (0.500, 0.879, 0.121)
Sm (0.904, 0.262, 0.262)
Er (0.000, 0.000, 0.000)

---

5.
Entry from Alexandria: crystalline Pr5Sm2Er3 at its relaxed geometry (PBE-GGA).

Results
Space group ... Ibam, No. 72
Theoretical density ... 6.91 g cm⁻³
ΔH_f (0 K) ... 0.362 eV per atom
Size of the total moment ... 0.00 Bohr magnetons per cell
Excess energy over the best structure of this formula in the dataset ... 184 meV/atom

Cell: 6.880 12.549 12.549 Å, 44.38 74.09 74.09°
Fractional coordinates of all 20 atoms:
Pr (0.504, 0.246, 0.246)
Pr (0.872, 0.531, 0.725)
Pr (0.750, 0.500, 0.500)
Pr (0.372, 0.725, 0.531)
Pr (0.996, 0.754, 0.754)
Pr (0.496, 0.754, 0.754)
Pr (0.004, 0.246, 0.246)
Pr (0.250, 0.500, 0.500)
Pr (0.128, 0.469, 0.275)
Pr (0.628, 0.275, 0.469)
Sm (0.880, 0.216, 0.024)
Sm (0.620, 0.976, 0.784)
Sm (0.120, 0.784, 0.976)
Sm (0.380, 0.024, 0.216)
Er (0.250, 0.000, 0.000)
Er (0.750, 0.000, 0.000)
Er (0.882, 0.872, 0.363)
Er (0.382, 0.363, 0.872)
Er (0.618, 0.637, 0.128)
Er (0.118, 0.128, 0.637)

---

6.
Entry from Alexandria: crystalline Pr2SmEr4 at its relaxed geometry (PBE-GGA).

Results
Space group ... C2, No. 5
Theoretical density ... 7.92 g cm⁻³
ΔH_f (0 K) ... 0.181 eV per atom
Size of the total moment ... 0.00 Bohr magnetons per cell
Excess energy over the best structure of this formula in the dataset ... 161 meV/atom

Cell: 8.935 8.928 8.929 Å, 135.52 99.33 97.11°
Fractional coordinates of all 14 atoms:
Er (0.472, 0.746, 0.772)
Er (0.877, 0.610, 0.733)
Er (0.375, 0.052, 0.678)
Er (0.373, 0.606, 0.233)
Er (0.975, 0.749, 0.276)
Er (0.778, 0.050, 0.774)
Er (0.875, 0.053, 0.177)
Er (0.275, 0.051, 0.274)
Pr (0.625, 0.383, 0.258)
Pr (0.652, 0.045, 0.391)
Pr (0.125, 0.382, 0.757)
Pr (0.599, 0.490, 0.893)
Sm (0.152, 0.043, 0.892)
Sm (0.098, 0.490, 0.391)

---

Raw total energy
In order: -4.42, -4.58, -4.65, -4.42, -4.34, -4.47
Unit: eV per atom
Calculated volume
In order: 642, 340, 371, 675, 724, 462
Unit: Å³/cell